# CdCoAu2

A relaxed CdCoAu2 crystal (PBE, Alexandria).

Cell and atoms, written as POSCAR:
```
CdCoAu2
1.0
4.896 0.000 0.000
1.360 4.703 0.000
-3.128 -2.352 2.942
Co Au Cd
1 2 1
Direct
0.750 0.250 0.500
0.500 0.500 0.000
0.000 0.000 0.000
0.250 0.750 0.500
```

Results
- SG = I4/mmm (139)
- size of the total moment (Bohr magnetons per cell) = 1.5
- final energy (eV per formula unit) = -14.01
- calculated formation energy (meV/atom) = 142